[1]
{"formula": "DyTmRuPt", "functional": "PBE-GGA", "state": "relaxed", "cell": [[3.450, 0.000, 0.000], [0.000, 3.450, 0.000], [0.000, 0.000, 6.719]], "species": ["Dy", "Tm", "Ru", "Pt"], "frac_coords": [[0.500, 0.500, 0.113], [0.500, 0.500, 0.602], [0.000, 0.000, 0.361], [0.000, 0.000, 0.853]], "polymorph_energy_mev_per_atom": 0.0, "total_energy_ev_per_cell": -27.9, "m_tot_mub_per_fu": 0.00}

---

[2]
{"formula": "TiZn2Pd2", "functional": "PBE-GGA", "state": "relaxed", "cell": [[3.462, 0.000, 0.000], [0.000, 3.462, 0.000], [1.731, 1.731, 6.692]], "species": ["Zn", "Zn", "Pd", "Pd", "Ti"], "frac_coords": [[0.750, 0.250, 0.500], [0.250, 0.750, 0.500], [0.401, 0.401, 0.198], [0.599, 0.599, 0.802], [0.000, 0.000, 0.000]], "polymorph_energy_mev_per_atom": 102.9, "total_energy_ev_per_cell": -22.3, "m_tot_mub_per_fu": 0.00}

---

[3]
{"formula": "SrNiTe2", "functional": "PBE-GGA", "state": "relaxed", "cell": [[4.072, 0.000, 0.000], [0.000, 4.072, 0.000], [0.000, 0.000, 7.094]], "species": ["Ni", "Sr", "Te", "Te"], "frac_coords": [[0.000, 0.000, 0.344], [0.500, 0.500, 0.810], [0.000, 0.000, 0.993], [0.500, 0.500, 0.353]], "total_energy_ev_per_cell": -15.6, "m_tot_mub_per_fu": 0.00, "formation_energy_uncorrected_mev_per_atom": -464}

---

[4]
{"formula": "Ce5Ge2Ir", "functional": "PBE-GGA", "state": "relaxed", "cell": [[-0.616, -0.684, 5.208], [2.523, -3.673, -2.869], [13.865, 7.475, 2.623]], "species": ["Ce", "Ce", "Ce", "Ce", "Ce", "Ce", "Ce", "Ce", "Ce", "Ce", "Ge", "Ge", "Ge", "Ge", "Ir", "Ir"], "frac_coords": [[0.937, 0.874, 0.914], [0.937, 0.874, 0.586], [0.399, 0.798, 0.385], [0.399, 0.798, 0.115], [0.721, 0.443, 0.250], [0.279, 0.557, 0.750], [0.601, 0.202, 0.615], [0.601, 0.202, 0.885], [0.063, 0.126, 0.086], [0.063, 0.126, 0.414], [0.726, 0.452, 0.436], [0.726, 0.452, 0.064], [0.274, 0.548, 0.564], [0.274, 0.548, 0.936], [0.953, 0.907, 0.750], [0.047, 0.093, 0.250]], "polymorph_energy_mev_per_atom": 158.6, "total_energy_ev_per_cell": -103.4, "m_tot_mub_per_fu": 3.82}

---

[5]
{"formula": "LiPm2N", "functional": "PBE-GGA", "state": "relaxed", "cell": [[3.151, 0.000, 0.000], [0.000, 3.151, 0.000], [0.000, 0.000, 8.917]], "species": ["Li", "Pm", "Pm", "N"], "frac_coords": [[0.500, 0.500, 0.250], [0.000, 0.000, 0.915], [0.000, 0.000, 0.585], [0.500, 0.500, 0.750]], "polymorph_energy_mev_per_atom": 467.2, "total_energy_ev_per_cell": -20.4, "m_tot_mub_per_fu": 0.00, "formation_energy_uncorrected_mev_per_atom": -153}

---

[6]
{"formula": "HoVTc4", "functional": "PBE-GGA", "state": "relaxed", "cell": [[5.238, 0.000, 0.000], [2.619, 4.536, 0.000], [2.619, 1.512, 4.276]], "species": ["V", "Ho", "Tc", "Tc", "Tc", "Tc"], "frac_coords": [[0.250, 0.250, 0.250], [0.000, 0.000, 0.000], [0.625, 0.625, 0.126], [0.625, 0.126, 0.625], [0.625, 0.625, 0.625], [0.126, 0.625, 0.625]], "total_energy_ev_per_cell": -54.7, "m_tot_mub_per_fu": 0.85}

---

[7]
{"formula": "ZrInSb2Te", "functional": "PBE-GGA", "state": "relaxed", "cell": [[5.601, 0.000, 0.000], [0.000, 5.601, 0.000], [0.000, 0.000, 5.631]], "species": ["Sb", "Sb", "Te", "Zr", "In"], "frac_coords": [[0.000, 0.500, 0.000], [0.500, 0.000, 0.000], [0.000, 0.000, 0.500], [0.000, 0.000, 0.000], [0.500, 0.500, 0.500]], "polymorph_energy_mev_per_atom": 0.0, "total_energy_ev_per_cell": -22.6, "m_tot_mub_per_fu": 0.00, "formation_energy_uncorrected_mev_per_atom": 23}

---

[8]
{"formula": "KHo2PuO6", "functional": "PBE-GGA", "state": "relaxed", "cell": [[5.914, 0.000, 0.000], [2.957, 5.122, 0.000], [2.957, 1.707, 5.216]], "species": ["K", "Ho", "Ho", "Pu", "O", "O", "O", "O", "O", "O"], "frac_coords": [[0.784, 0.784, 0.647], [0.527, 0.527, 0.419], [0.010, 0.010, 0.969], [0.321, 0.321, 0.036], [0.597, 0.258, 0.219], [0.258, 0.926, 0.219], [0.926, 0.597, 0.219], [0.338, 0.708, 0.763], [0.708, 0.191, 0.763], [0.191, 0.338, 0.763]], "total_energy_ev_per_cell": -84.2, "m_tot_mub_per_fu": 3.00, "formation_energy_uncorrected_mev_per_atom": -2987}

---

[9]
{"formula": "Mg3Si2O9", "functional": "PBE-GGA", "state": "relaxed", "cell": [[-3.675, -1.068, -3.827], [2.379, -4.059, 2.675], [-10.580, 0.416, 10.043]], "species": ["Mg", "Mg", "Mg", "Mg", "Mg", "Mg", "Si", "Si", "Si", "Si", "O", "O", "O", "O", "O", "O", "O", "O", "O", "O", "O", "O", "O", "O", "O", "O", "O", "O"], "frac_coords": [[0.644, 0.000, 0.280], [0.356, 0.356, 0.280], [0.000, 0.644, 0.280], [0.356, 0.000, 0.780], [0.644, 0.644, 0.780], [0.000, 0.356, 0.780], [0.667, 0.333, 0.474], [0.333, 0.667, 0.474], [0.333, 0.667, 0.974], [0.667, 0.333, 0.974], [0.667, 0.333, 0.361], [0.333, 0.667, 0.361], [0.333, 0.667, 0.861], [0.667, 0.333, 0.861], [0.500, 0.000, 0.510], [0.500, 0.500, 0.510], [0.000, 0.500, 0.510], [0.500, 0.000, 0.010], [0.500, 0.500, 0.010], [0.000, 0.500, 0.010], [0.306, 0.000, 0.218], [0.694, 0.694, 0.218], [0.000, 0.306, 0.218], [0.694, 0.000, 0.718], [0.306, 0.306, 0.718], [0.000, 0.694, 0.718], [0.000, 0.000, 0.333], [0.000, 0.000, 0.833]], "polymorph_energy_mev_per_atom": 70.7, "total_energy_ev_per_cell": -176.6, "m_tot_mub_per_fu": 4.00, "formation_energy_uncorrected_mev_per_atom": -2002}

---

[10]
{"formula": "PmDyBi", "functional": "PBE-GGA", "state": "relaxed", "cell": [[4.115, 0.000, 0.000], [0.000, 4.115, 0.000], [-2.058, -2.058, 5.383]], "species": ["Dy", "Bi", "Pm"], "frac_coords": [[0.962, 0.962, 0.925], [0.612, 0.612, 0.225], [0.275, 0.275, 0.550]], "polymorph_energy_mev_per_atom": 148.7, "total_energy_ev_per_cell": -14.7, "m_tot_mub_per_fu": 0.82}

---

[11]
{"formula": "La2NdHo4", "functional": "PBE-GGA", "state": "relaxed", "cell": [[-1.904, 4.095, 1.019], [0.405, -0.936, 4.516], [11.029, 3.183, -2.703]], "species": ["La", "La", "Nd", "Ho", "Ho", "Ho", "Ho"], "frac_coords": [[0.600, 0.600, 0.200], [0.400, 0.400, 0.800], [0.000, 0.000, 0.000], [0.141, 0.141, 0.282], [0.859, 0.859, 0.718], [0.750, 0.250, 0.500], [0.250, 0.750, 0.500]], "polymorph_energy_mev_per_atom": 159.1, "total_energy_ev_per_cell": -31.2, "m_tot_mub_per_fu": 0.00}

---

[12]
{"formula": "ZnTc4Hg", "functional": "PBE-GGA", "state": "relaxed", "cell": [[0.000, 3.672, 3.672], [3.672, 0.000, 3.672], [3.672, 3.672, 0.000]], "species": ["Zn", "Tc", "Tc", "Tc", "Tc", "Hg"], "frac_coords": [[0.750, 0.750, 0.750], [0.875, 0.375, 0.375], [0.375, 0.375, 0.875], [0.375, 0.875, 0.375], [0.375, 0.375, 0.375], [0.000, 0.000, 0.000]], "total_energy_ev_per_cell": -39.7, "m_tot_mub_per_fu": 0.00}